1.
A plane-wave DFT calculation with PBE was carried out for DyScBi after structural relaxation.

Structure (POSCAR):
```
DyScBi
1.0
5.843 0.000 0.000
0.000 3.421 0.000
-2.921 -1.711 8.600
Bi Dy Sc
2 2 2
direct
0.156 0.656 0.311 Bi
0.844 0.344 0.689 Bi
0.660 0.160 0.319 Dy
0.340 0.840 0.681 Dy
0.261 0.500 0.000 Sc
0.739 0.500 0.000 Sc
```

Summary:
E_tot: -15.6 eV per formula unit

2.
A plane-wave DFT calculation with PBE was carried out for DySc2Bi4 after structural relaxation.

Structure (POSCAR):
```
DySc2Bi4
1.0
4.396 0.000 0.000
-2.198 5.631 0.000
0.000 0.000 16.303
Bi Dy Sc
8 2 4
direct
0.837 0.674 0.119 Bi
0.163 0.326 0.619 Bi
0.500 0.000 0.500 Bi
0.837 0.674 0.381 Bi
0.141 0.283 0.250 Bi
0.163 0.326 0.881 Bi
0.500 0.000 0.000 Bi
0.859 0.717 0.750 Bi
0.433 0.865 0.250 Dy
0.567 0.135 0.750 Dy
0.155 0.309 0.073 Sc
0.845 0.691 0.573 Sc
0.155 0.309 0.427 Sc
0.845 0.691 0.927 Sc
```

Summary:
E_tot: -36.4 eV per formula unit

M_tot (computed, Bohr magnetons per cell): 0.94; 0.00
ΔH_f (0 K) (computed, eV per atom): -0.278; -0.509